The following is a DFT calculation (PBE-GGA) of crystalline Sr6MgAl2 at its relaxed geometry.

Energy relative to the elements: -0.6 eV per formula unit
Calculated volume: 1476.4 Å³/cell

```
data_Sr6MgAl2
_symmetry_space_group_name_H-M 'I m m m'
_symmetry_Int_Tables_number 71
_symmetry_space_group_name_Hall '-I 2 2'
_cell_length_a 10.7291
_cell_length_b 11.3387
_cell_length_c 12.1362
_cell_angle_alpha 90.00
_cell_angle_beta 90.00
_cell_angle_gamma 90.00
loop_
_atom_site_label
_atom_site_type_symbol
_atom_site_fract_x
_atom_site_fract_y
_atom_site_fract_z
Sr1 Sr 0.0000 0.1991 0.1790
Sr2 Sr 0.1860 0.2257 0.5000
Sr3 Sr 0.2068 0.5000 0.2568
Mg1 Mg 0.0000 0.5000 0.0000
Mg2 Mg 0.0000 0.5000 0.5000
Al1 Al 0.0000 0.0000 0.3931
Al2 Al 0.1286 0.0000 0.0000
```

***

The following is a DFT calculation (PBE-GGA) of crystalline SrMg3Al at its relaxed geometry.

Energy relative to the elements: -0.4 eV per formula unit
Energy relative to the lowest polymorph listed for this composition: 0.0000 eV/atom
Calculated volume: 274.7 Å³/cell

```
data_SrMg3Al
_symmetry_space_group_name_H-M 'P 1 21/m 1'
_symmetry_Int_Tables_number 11
_symmetry_space_group_name_Hall '-P 2yb'
_cell_length_a 7.7145
_cell_length_b 4.5665
_cell_length_c 8.1300
_cell_angle_alpha 90.00
_cell_angle_beta 106.42
_cell_angle_gamma 90.00
loop_
_atom_site_label
_atom_site_type_symbol
_atom_site_fract_x
_atom_site_fract_y
_atom_site_fract_z
Sr1 Sr 0.1941 0.2500 0.1773
Mg1 Mg 0.0888 0.2500 0.6407
Mg2 Mg 0.3401 0.7500 0.8948
Mg3 Mg 0.3425 0.7500 0.5236
Al1 Al 0.4755 0.2500 0.7424
```

***

The following is a DFT calculation (PBE-GGA) of crystalline SrMg4Al at its relaxed geometry.

Energy relative to the elements: 0.4 eV per formula unit
Energy relative to the lowest polymorph listed for this composition: 0.1313 eV/atom
Calculated volume: 635.9 Å³/cell

```
data_SrMg4Al
_symmetry_space_group_name_H-M 'F -4 3 m'
_symmetry_Int_Tables_number 216
_symmetry_space_group_name_Hall 'F -4 2 3'
_cell_length_a 8.5993
_cell_length_b 8.5993
_cell_length_c 8.5993
_cell_angle_alpha 90.00
_cell_angle_beta 90.00
_cell_angle_gamma 90.00
loop_
_atom_site_label
_atom_site_type_symbol
_atom_site_fract_x
_atom_site_fract_y
_atom_site_fract_z
Sr1 Sr 0.0000 0.0000 0.0000
Mg1 Mg 0.1242 0.1242 0.3758
Al1 Al 0.2500 0.2500 0.7500
```

***

no.,D(E_F) (states/eV/f.u.),uncorrected energy (eV/atom)
1,10.8,-2.20
2,2.7,-2.13
3,1.4,-1.90